A plane-wave DFT calculation with PBE-GGA was carried out for a geometry-optimized Sr3Zn4Pd4 structure.

a b c (Å): 6.8693 6.8693 6.8693
angles (deg): 109.47 109.47 109.47
Last column: nearest neighbours and their distance in Å.
Fractional positions:
Sr 0.0000 0.5000 0.5000  4 Zn 3.26, 4 Pd 3.28
Sr 0.5000 0.0000 0.5000  4 Zn 3.26, 4 Pd 3.28
Sr 0.5000 0.5000 0.0000  4 Zn 3.26, 4 Pd 3.28
Zn 0.0000 0.0000 0.3834  4 Pd 2.47-2.64
Zn 0.0000 0.3834 0.0000  4 Pd 2.47-2.64
Zn 0.3834 0.0000 0.0000  4 Pd 2.47-2.64
Zn 0.6166 0.6166 0.6166  4 Pd 2.47-2.64
Pd 0.0000 0.0000 0.7434  4 Zn 2.47-2.64
Pd 0.0000 0.7434 0.0000  4 Zn 2.47-2.64
Pd 0.2566 0.2566 0.2566  4 Zn 2.47-2.64
Pd 0.7434 0.0000 0.0000  4 Zn 2.47-2.64

Computed properties:
Space group: I-43m, No. 217
Energy above the most stable polymorph in this dataset in meV per atom: 33
Energy relative to the elements in eV/f.u.: -5.64
Spin magnetization in μB per cell: 0.0
Crystal system: cubic